The following is a DFT calculation (GGA-PBE) of crystalline TlTe2IBr at its relaxed geometry.

POSCAR file:
```
TlTe2IBr
1.0
-3.837 3.020 -3.517
-3.645 -4.786 -0.132
-2.838 2.028 4.838
Br Te Tl I
1 2 1 1
Cartesian
-5.160 0.131 0.595
-1.919 1.510 -1.758
-1.823 -2.393 -0.066
0.000 0.000 0.000
-1.419 1.014 2.419
```

Properties
The excess energy over the best structure of this formula in the dataset comes out at 89 kJ/mol of formula units. The raw formation energy comes out at 0.49 eV per atom. As for the crystal system: tetragonal.



The following is a DFT calculation (GGA-PBE) of crystalline Sr3Al8Au3 at its relaxed geometry.

POSCAR file:
```
Sr3Al8Au3
1.0
4.398 0.000 1.160
1.500 7.752 3.231
0.085 -0.403 8.595
Sr Al Au
3 8 3
Cartesian
3.573 2.146 4.286
2.409 5.203 8.699
0.000 0.000 0.000
0.874 0.923 5.604
5.108 6.426 7.381
4.474 2.952 9.786
3.254 5.177 5.495
1.508 4.397 3.199
1.558 0.065 3.011
2.728 2.172 7.490
4.424 7.284 9.975
1.974 2.298 1.433
0.792 3.675 5.913
4.008 5.051 11.553
```

Properties
The excess energy over the best structure of this formula in the dataset comes out at 0 kJ/mol of formula units. As for the crystal system: monoclinic. The energy of formation from the pure elements comes out at -426 meV per atom.



The following is a DFT calculation (GGA-PBE) of crystalline AcMgTl6 at its relaxed geometry.

POSCAR file:
```
AcMgTl6
1.0
5.333 0.000 0.000
0.000 6.832 1.153
0.000 1.240 6.816
Tl Mg Ac
6 1 1
Cartesian
0.000 1.895 1.871
2.667 3.416 0.577
0.000 5.207 2.798
0.000 2.864 5.171
2.667 0.620 3.408
0.000 6.177 6.098
2.667 4.036 3.985
2.667 0.000 0.000
```

Properties
As for the crystal system: orthorhombic. The energy of formation from the pure elements comes out at -125 meV per atom.



The following is a DFT calculation (GGA-PBE) of crystalline GdEr2As at its relaxed geometry.

POSCAR file:
```
GdEr2As
1.0
3.831 0.000 0.000
1.915 3.318 0.000
1.915 1.106 9.412
As Gd Er
1 1 2
Cartesian
0.000 0.000 0.000
3.831 2.212 4.706
1.915 1.106 1.725
5.746 3.318 7.687
```

Properties
As for the crystal system: trigonal. The energy of formation from the pure elements comes out at -595 meV per atom.



The following is a DFT calculation (GGA-PBE) of crystalline BaYTm at its relaxed geometry.

POSCAR file:
```
BaYTm
1.0
5.571 1.150 1.441
3.779 4.251 1.441
2.154 1.244 13.002
Ba Tm Y
2 2 2
Cartesian
2.923 1.689 1.499
4.781 2.762 4.668
3.800 2.195 8.336
6.059 3.500 10.832
3.094 1.787 11.619
6.765 3.908 7.549
```

Properties
The excess energy over the best structure of this formula in the dataset comes out at 40 kJ/mol of formula units. As for the crystal system: monoclinic. The energy of formation from the pure elements comes out at 345 meV per atom.



The following is a DFT calculation (GGA-PBE) of crystalline SrHgSb3 at its relaxed geometry.

POSCAR file:
```
SrHgSb3
1.0
-2.384 3.045 4.674
-3.262 -4.884 1.518
4.525 -1.917 3.557
Sb Hg Sr
3 1 1
Cartesian
2.262 -0.958 1.779
-1.631 -2.442 0.759
-1.192 1.523 2.337
-0.561 -1.878 4.875
0.000 0.000 0.000
```

Properties
The excess energy over the best structure of this formula in the dataset comes out at 264 kJ/mol of formula units. The raw formation energy comes out at 0.70 eV per atom. As for the crystal system: cubic.



The following is a DFT calculation (GGA-PBE) of crystalline NbCu3Se at its relaxed geometry.

POSCAR file:
```
NbCu3Se
1.0
4.798 0.000 0.000
0.000 4.798 0.000
0.000 0.000 4.798
Cu Se Nb
3 1 1
Cartesian
0.000 2.399 0.000
2.399 0.000 0.000
0.000 0.000 2.399
2.399 2.399 2.399
0.000 0.000 0.000
```

Properties
The excess energy over the best structure of this formula in the dataset comes out at 275 kJ/mol of formula units. The raw formation energy comes out at 1.49 eV per atom. As for the crystal system: cubic.



The following is a DFT calculation (GGA-PBE) of crystalline BiTe2H2 at its relaxed geometry.

POSCAR file:
```
BiTe2H2
1.0
3.899 0.000 0.000
0.000 3.899 0.000
1.949 1.949 6.333
Bi Te H
1 2 2
Cartesian
0.000 0.000 0.000
1.949 1.949 1.857
3.899 3.899 4.476
3.899 1.949 3.167
1.949 3.899 3.167
```

Properties
The excess energy over the best structure of this formula in the dataset comes out at 161 kJ/mol of formula units. As for the crystal system: tetragonal.



The following is a DFT calculation (GGA-PBE) of crystalline SrLiMn2Co at its relaxed geometry.

POSCAR file:
```
SrLiMn2Co
1.0
5.565 0.000 0.000
0.000 4.939 0.000
0.000 0.000 5.565
Li Mn Co Sr
1 2 1 1
Cartesian
2.783 2.469 2.783
2.783 0.000 0.000
0.000 0.000 2.783
0.000 2.469 0.000
0.000 0.000 0.000
```

Properties
The excess energy over the best structure of this formula in the dataset comes out at 574 kJ/mol of formula units. As for the crystal system: tetragonal. The energy of formation from the pure elements comes out at 1832 meV per atom.



The following is a DFT calculation (GGA-PBE) of crystalline PmYCd at its relaxed geometry.

POSCAR file:
```
PmYCd
1.0
3.544 0.032 -0.317
-0.078 3.473 -0.522
1.282 0.405 14.358
Cd Pm Y
2 2 2
Cartesian
0.568 0.616 4.027
1.389 3.832 13.505
2.488 2.693 5.745
2.111 2.040 1.443
3.019 1.800 11.552
0.989 3.143 8.963
```

Properties
The excess energy over the best structure of this formula in the dataset comes out at 24 kJ/mol of formula units. As for the crystal system: orthorhombic. The energy of formation from the pure elements comes out at -122 meV per atom.



The following is a DFT calculation (GGA-PBE) of crystalline CdIn6Sn2 at its relaxed geometry.

POSCAR file:
```
CdIn6Sn2
1.0
3.408 0.000 0.000
-1.704 2.952 0.000
0.000 0.000 24.223
Sn In Cd
2 6 1
Cartesian
1.704 0.984 16.262
1.704 0.984 7.961
1.704 0.984 2.534
0.000 1.968 10.610
0.000 1.968 5.246
0.000 1.968 13.612
0.000 1.968 18.977
1.704 0.984 21.689
0.000 1.968 0.000
```

Properties
As for the crystal system: hexagonal. The energy of formation from the pure elements comes out at 29 meV per atom.



The following is a DFT calculation (GGA-PBE) of crystalline Tc2BTeO at its relaxed geometry.

POSCAR file:
```
Tc2BTeO
1.0
3.865 0.000 0.000
0.000 5.572 0.000
0.000 0.000 3.865
B O Tc Te
1 1 2 1
Cartesian
1.933 2.786 1.933
0.000 0.000 0.000
1.933 0.000 0.000
0.000 0.000 1.933
0.000 2.786 0.000
```

Properties
The raw formation energy comes out at 1.11 eV per atom. As for the crystal system: tetragonal.



The following is a DFT calculation (GGA-PBE) of crystalline CeHoBiAu at its relaxed geometry.

POSCAR file:
```
CeHoBiAu
1.0
-3.188 1.051 -4.168
-2.500 -3.998 -2.531
-5.300 -0.568 0.475
Au Ce Ho Bi
1 1 1 1
Cartesian
0.000 0.000 0.000
-2.747 -0.879 -1.556
-8.241 -2.636 -4.669
-5.494 -1.758 -3.112
```

Properties
As for the crystal system: cubic. The energy of formation from the pure elements comes out at -597 meV per atom.



The following is a DFT calculation (GGA-PBE) of crystalline K3SrZn at its relaxed geometry.

POSCAR file:
```
K3SrZn
1.0
8.156 0.000 0.000
0.000 8.156 0.000
0.000 0.000 8.156
K Sr Zn
3 1 1
Cartesian
0.000 0.000 4.078
0.000 4.078 0.000
4.078 0.000 0.000
0.000 0.000 0.000
4.078 4.078 4.078
```

Properties
The excess energy over the best structure of this formula in the dataset comes out at 183 kJ/mol of formula units. As for the crystal system: cubic. The energy of formation from the pure elements comes out at 589 meV per atom.



The following is a DFT calculation (GGA-PBE) of crystalline Y2HfPtAu at its relaxed geometry.

POSCAR file:
```
Y2HfPtAu
1.0
-0.787 1.497 4.966
-4.159 -3.028 0.254
2.993 -3.971 1.671
Y Pt Hf Au
2 1 1 1
Cartesian
1.497 -1.985 0.835
-0.393 0.748 2.483
0.000 0.000 0.000
-0.977 -2.751 3.445
-2.080 -1.514 0.127
```

Properties
As for the crystal system: tetragonal. The energy of formation from the pure elements comes out at 157 meV per atom.



The following is a DFT calculation (GGA-PBE) of crystalline Hf2TiBeH at its relaxed geometry.

POSCAR file:
```
Hf2TiBeH
1.0
-0.368 -3.857 -1.763
-1.278 -1.586 3.737
-3.815 0.805 -0.964
Be Ti Hf H
1 1 2 1
Cartesian
-2.731 -2.319 0.505
-1.908 0.402 -0.482
-0.184 -1.928 -0.881
-0.639 -0.793 1.869
0.000 0.000 0.000
```

Properties
The excess energy over the best structure of this formula in the dataset comes out at 0 kJ/mol of formula units. As for the crystal system: tetragonal.



The following is a DFT calculation (GGA-PBE) of crystalline Be2CrFe at its relaxed geometry.

POSCAR file:
```
Be2CrFe
1.0
4.046 0.122 0.000
-0.990 3.925 0.000
0.000 0.000 2.433
Be Cr Fe
2 1 1
Cartesian
0.000 0.000 0.000
1.528 2.024 0.000
2.023 0.061 1.217
-0.495 1.963 1.217
```

Properties
The excess energy over the best structure of this formula in the dataset comes out at 64 kJ/mol of formula units. As for the crystal system: orthorhombic. The energy of formation from the pure elements comes out at 19 meV per atom.



The following is a DFT calculation (GGA-PBE) of crystalline InCu2Br at its relaxed geometry.

POSCAR file:
```
InCu2Br
1.0
4.842 -0.062 0.367
3.620 3.216 0.367
4.757 1.773 6.226
Br Cu In
1 2 1
Cartesian
3.305 1.232 1.740
12.276 4.577 6.250
7.552 2.815 4.190
9.914 3.696 5.220
```

Properties
The excess energy over the best structure of this formula in the dataset comes out at 19 kJ/mol of formula units. The raw formation energy comes out at 0.05 eV per atom. As for the crystal system: monoclinic.



The following is a DFT calculation (GGA-PBE) of crystalline HfAl3F at its relaxed geometry.

POSCAR file:
```
HfAl3F
1.0
5.416 0.000 0.000
0.000 5.416 0.000
0.000 0.000 5.416
Al Hf F
3 1 1
Cartesian
0.000 2.708 0.000
0.000 0.000 2.708
2.708 0.000 0.000
0.000 0.000 0.000
2.708 2.708 2.708
```

Properties
The excess energy over the best structure of this formula in the dataset comes out at 655 kJ/mol of formula units. The raw formation energy comes out at 0.79 eV per atom. As for the crystal system: cubic.



The following is a DFT calculation (GGA-PBE) of crystalline Cs3NaLi2F6 at its relaxed geometry.

POSCAR file:
```
Cs3NaLi2F6
1.0
-3.471 -5.317 0.302
2.890 1.605 -5.429
6.056 -3.834 2.090
Li F Cs Na
2 6 3 1
Cartesian
3.115 -5.837 -0.068
2.360 -1.709 -2.970
2.216 -1.514 -1.197
3.259 -6.032 -1.841
1.936 -3.302 -3.667
1.867 -6.805 0.774
3.539 -4.244 0.629
3.608 -0.741 -3.812
4.823 -3.268 -2.120
0.000 0.000 0.000
0.652 -4.278 -0.917
3.028 -1.917 1.045
```

Properties
The raw formation energy comes out at -2.70 eV per atom. As for the crystal system: trigonal.